# 1
Below is a relaxed Tb5Mg2Sn5 crystal, with properties calculated at the PBE level.

Cell lengths 7.398, 7.398, 12.087 Å; angles 118.72, 118.72, 36.24 degrees
Fractional positions:
Tb1 0.000 0.000 0.000
Tb2 0.148 0.148 0.493
Tb3 0.156 0.156 0.796
Tb4 0.844 0.844 0.204
Tb5 0.852 0.852 0.507
Mg1 0.409 0.409 0.737
Mg2 0.591 0.591 0.263
Sn1 0.233 0.233 0.293
Sn2 0.377 0.377 0.050
Sn3 0.500 0.500 0.500
Sn4 0.623 0.623 0.950
Sn5 0.767 0.767 0.707

Computed properties:
**Space-group type**: No. 12
**Energy of formation from the pure elements**: -0.47 eV/atom

***

# 2
Below is a relaxed FeBrCl2 crystal, with properties calculated at the PBE level.

Cell lengths 5.030, 5.030, 5.030 Å; angles 125.24, 125.24, 81.15 degrees
Fractional positions:
Fe1 0.000 0.000 0.000
Br1 0.500 0.500 0.000
Cl1 0.250 0.750 0.500
Cl2 0.750 0.250 0.500

Computed properties:
**Raw formation energy**: 0.45 eV per atom
**Space-group type**: No. 139
**Excess energy over the best structure of this formula in the dataset**: 1083 meV/atom

***

# 3
Below is a relaxed Fe3PtI9 crystal, with properties calculated at the PBE level.

Cell lengths 10.826, 10.826, 14.029 Å; angles 122.59, 122.59, 54.34 degrees
Fractional positions:
Fe1 0.042 0.958 0.500
Fe2 0.277 0.512 0.594
Fe3 0.512 0.277 0.094
Fe4 0.556 0.718 0.450
Fe5 0.718 0.556 0.950
Fe6 0.958 0.042 0.000
Pt1 0.044 0.486 0.773
Pt2 0.486 0.044 0.273
I1 0.018 0.751 0.523
I2 0.054 0.183 0.702
I3 0.065 0.770 0.845
I4 0.164 0.357 0.592
I5 0.183 0.054 0.202
I6 0.249 0.793 0.386
I7 0.357 0.164 0.092
I8 0.366 0.380 0.919
I9 0.380 0.366 0.419
I10 0.457 0.661 0.779
I11 0.571 0.960 0.465
I12 0.629 0.714 0.136
I13 0.661 0.457 0.279
I14 0.714 0.629 0.636
I15 0.751 0.018 0.023
I16 0.770 0.065 0.345
I17 0.793 0.249 0.886
I18 0.960 0.571 0.965

Computed properties:
**Raw formation energy**: -0.05 eV per atom
**Space-group type**: No. 9

***

# 4
Below is a relaxed Pd3RhSe8 crystal, with properties calculated at the PBE level.

Cell lengths 7.054, 7.054, 7.126 Å; angles 116.13, 116.13, 64.25 degrees
Fractional positions:
Pd1 0.000 0.000 0.000
Pd2 0.000 0.500 0.500
Pd3 0.500 0.000 0.500
Rh1 0.500 0.500 0.000
Se1 0.245 0.245 0.259
Se2 0.250 0.743 0.761
Se3 0.257 0.257 0.745
Se4 0.257 0.750 0.239
Se5 0.743 0.250 0.761
Se6 0.743 0.743 0.255
Se7 0.750 0.257 0.239
Se8 0.755 0.755 0.741

Computed properties:
**Raw formation energy**: -0.27 eV per atom
**Space-group type**: No. 12

***

# 5
Below is a relaxed Pm4HoTm7 crystal, with properties calculated at the PBE level.

Cell lengths 6.695, 6.695, 12.716 Å; angles 115.18, 115.18, 51.74 degrees
Fractional positions:
Pm1 0.140 0.140 0.277
Pm2 0.280 0.280 0.836
Pm3 0.720 0.720 0.164
Pm4 0.860 0.860 0.723
Ho1 0.500 0.500 0.500
Tm1 0.000 0.000 0.500
Tm2 0.132 0.132 0.994
Tm3 0.288 0.288 0.576
Tm4 0.430 0.430 0.191
Tm5 0.570 0.570 0.809
Tm6 0.712 0.712 0.424
Tm7 0.868 0.868 0.006

Computed properties:
**Space-group type**: No. 12
**Energy of formation from the pure elements**: 0.28 eV/atom
**Excess energy over the best structure of this formula in the dataset**: 191 meV/atom

***

# 6
Below is a relaxed ZrFeSbS2 crystal, with properties calculated at the PBE level.

Cell lengths 4.905, 4.905, 5.003 Å; angles 90.00, 90.00, 90.00 degrees
Fractional positions:
Zr1 0.000 0.000 0.000
Fe1 0.000 0.000 0.500
Sb1 0.500 0.500 0.500
S1 0.000 0.500 0.000
S2 0.500 0.000 0.000

Computed properties:
**Raw formation energy**: 0.29 eV per atom
**Space-group type**: No. 123

***

# 7
Below is a relaxed BaLiLa2O crystal, with properties calculated at the PBE level.

Cell lengths 5.019, 5.019, 5.919 Å; angles 90.00, 90.00, 90.00 degrees
Fractional positions:
Ba1 0.000 0.000 0.000
Li1 0.500 0.500 0.000
La1 0.000 0.500 0.500
La2 0.500 0.000 0.500
O1 0.000 0.000 0.500

Computed properties:
**Raw formation energy**: -0.97 eV per atom
**Space-group type**: No. 123

***

# 8
Below is a relaxed ZrSn2SbW crystal, with properties calculated at the PBE level.

Cell lengths 5.504, 5.504, 5.453 Å; angles 90.00, 90.00, 90.00 degrees
Fractional positions:
Zr1 0.000 0.000 0.000
Sn1 0.000 0.500 0.000
Sn2 0.500 0.000 0.000
Sb1 0.000 0.000 0.500
W1 0.500 0.500 0.500

Computed properties:
**Raw formation energy**: 1.44 eV per atom
**Space-group type**: No. 123

***

# 9
Below is a relaxed ZnIn2Cl4 crystal, with properties calculated at the PBE level.

Cell lengths 7.021, 7.199, 9.197 Å; angles 90.00, 109.98, 90.00 degrees
Fractional positions:
Zn1 0.225 0.250 0.289
Zn2 0.775 0.750 0.711
In1 0.207 0.750 0.533
In2 0.273 0.750 0.066
In3 0.727 0.250 0.934
In4 0.793 0.250 0.467
Cl1 0.010 0.000 0.220
Cl2 0.010 0.500 0.220
Cl3 0.401 0.250 0.549
Cl4 0.443 0.250 0.153
Cl5 0.557 0.750 0.847
Cl6 0.599 0.750 0.451
Cl7 0.990 0.000 0.780
Cl8 0.990 0.500 0.780

Computed properties:
**Raw formation energy**: -0.97 eV per atom
**Space-group type**: No. 11
**Excess energy over the best structure of this formula in the dataset**: 3 meV/atom

***

# 10
Below is a relaxed NaCuS2N crystal, with properties calculated at the PBE level.

Cell lengths 4.844, 4.844, 4.100 Å; angles 90.00, 90.00, 90.00 degrees
Fractional positions:
Na1 0.000 0.000 0.000
Cu1 0.500 0.500 0.500
S1 0.000 0.500 0.000
S2 0.500 0.000 0.000
N1 0.000 0.000 0.500

Computed properties:
**Raw formation energy**: 1.82 eV per atom
**Space-group type**: No. 123
**Excess energy over the best structure of this formula in the dataset**: 1243 meV/atom

***

# 11
Below is a relaxed ZrCoOs2 crystal, with properties calculated at the PBE level.

Cell lengths 4.431, 4.431, 4.431 Å; angles 60.00, 60.00, 60.00 degrees
Fractional positions:
Zr1 0.000 0.000 0.000
Co1 0.750 0.750 0.750
Os1 0.250 0.250 0.250
Os2 0.500 0.500 0.500

Computed properties:
**Space-group type**: No. 216
**Energy of formation from the pure elements**: 0.18 eV/atom
**Excess energy over the best structure of this formula in the dataset**: 211 meV/atom

***

# 12
Below is a relaxed Sc2Al3Zn2 crystal, with properties calculated at the PBE level.

Cell lengths 9.363, 9.363, 6.766 Å; angles 90.00, 90.00, 154.05 degrees
Fractional positions:
Sc1 0.041 0.959 0.750
Sc2 0.156 0.844 0.250
Sc3 0.844 0.156 0.750
Sc4 0.959 0.041 0.250
Al1 0.217 0.783 0.750
Al2 0.436 0.564 0.564
Al3 0.436 0.564 0.936
Al4 0.564 0.436 0.064
Al5 0.564 0.436 0.436
Al6 0.783 0.217 0.250
Zn1 0.307 0.693 0.053
Zn2 0.307 0.693 0.447
Zn3 0.693 0.307 0.553
Zn4 0.693 0.307 0.947

Computed properties:
**Space-group type**: No. 63
**Energy of formation from the pure elements**: -0.31 eV/atom

***

| no. | total DFT energy (no corrections) (eV/atom) |
| --- | --- |
| 1 | -4.33 |
| 2 | -3.01 |
| 3 | -3.54 |
| 4 | -4.51 |
| 5 | -4.29 |
| 6 | -5.59 |
| 7 | -4.70 |
| 8 | -5.29 |
| 9 | -2.99 |
| 10 | -2.58 |
| 11 | -9.35 |
| 12 | -4.08 |